## LiCrGaF6 (PBE with a Hubbard U)

Data for LiCrGaF6 after structural relaxation.

abc: 5.3001 5.3001 8.9307
angles: 90.00 90.00 120.00
With the nearest neighbours (Å) after each atom.
Positions (direct):
Li 0.0000 0.0000 0.0000  6 F 2.18
Li 0.0000 0.0000 0.5000  6 F 2.18
Cr 0.3333 0.6667 0.2500  6 F 2.13
Cr 0.6667 0.3333 0.7500  6 F 2.13
Ga 0.3333 0.6667 0.7500  6 F 1.93
Ga 0.6667 0.3333 0.2500  6 F 1.93
F 0.0292 0.3599 0.6319  1 Ga 1.93, 1 Cr 2.13
F 0.0292 0.6693 0.8681  1 Ga 1.93, 1 Cr 2.13
F 0.3307 0.3599 0.8681  1 Ga 1.93, 1 Cr 2.13
F 0.3307 0.9708 0.6319  1 Ga 1.93, 1 Cr 2.13
F 0.3599 0.0292 0.1319  1 Ga 1.93, 1 Cr 2.13
F 0.3599 0.3307 0.3681  1 Ga 1.93, 1 Cr 2.13
F 0.6401 0.6693 0.6319  1 Ga 1.93, 1 Cr 2.13
F 0.6401 0.9708 0.8681  1 Ga 1.93, 1 Cr 2.13
F 0.6693 0.0292 0.3681  1 Ga 1.93, 1 Cr 2.13
F 0.6693 0.6401 0.1319  1 Ga 1.93, 1 Cr 2.13
F 0.9708 0.3307 0.1319  1 Ga 1.93, 1 Cr 2.13
F 0.9708 0.6401 0.3681  1 Ga 1.93, 1 Cr 2.13

Energy in eV/atom: -5.20